This record from Alexandria via LeMat-Bulk describes a geometry-optimized Sc3GeMo structure. The functional is PBE-GGA.

Values from the calculation:
Crystal system: cubic
Raw total energy (eV/f.u.): -31.6
ΔE_f (meV per atom): 576
Offset from the most stable computed form (eV/f.u.): 0.488

abc: 5.0203 5.0203 5.0203
angles: 90.00 90.00 90.00
Each line ends with the local moment (μB).
Fractional positions:
Mo: 0.5000 0.5000 0.5000  2.73
Ge: 0.0000 0.0000 0.0000  0.05
Sc: 0.0000 0.0000 0.5000  -0.11
Sc: 0.5000 0.0000 0.0000  -0.11
Sc: 0.0000 0.5000 0.0000  -0.07